Record 1
Here is a relaxed MgBeRe2 crystal from the Alexandria database. Energies are from PBEsol.

CIF file:
```
data_MgBeRe2
_chemical_formula_sum 'Mg1 Be1 Re2'
_cell_length_a 2.572
_cell_length_b 4.151
_cell_length_c 5.245
_cell_angle_alpha 90.00
_cell_angle_beta 90.00
_cell_angle_gamma 90.00
_symmetry_space_group_name_H-M 'P 1'
_symmetry_Int_Tables_number 1
loop_
_symmetry_equiv_pos_as_xyz
'x,y,z'
loop_
_atom_site_label
_atom_site_fract_x
_atom_site_fract_y
_atom_site_fract_z
Mg1 0.000 0.000 0.000
Be1 0.000 0.000 0.500
Re1 0.500 0.500 0.262
Re2 0.500 0.500 0.738
```

- formation energy (eV/atom) = 0.47
- energy (eV/atom) = -7.63
- total magnetic moment (μB per formula unit) = 0.0

Record 2
Here is a relaxed LaCo crystal from the Alexandria database. Energies are from PBEsol.

CIF file:
```
data_LaCo
_chemical_formula_sum 'La2 Co2'
_cell_length_a 3.717
_cell_length_b 3.717
_cell_length_c 7.934
_cell_angle_alpha 90.00
_cell_angle_beta 90.00
_cell_angle_gamma 120.00
_symmetry_space_group_name_H-M 'P 1'
_symmetry_Int_Tables_number 1
loop_
_symmetry_equiv_pos_as_xyz
'x,y,z'
loop_
_atom_site_label
_atom_site_fract_x
_atom_site_fract_y
_atom_site_fract_z
La1 0.333 0.667 0.295
La2 0.667 0.333 0.705
Co1 0.333 0.667 0.961
Co2 0.667 0.333 0.039
```

- formation energy (eV/atom) = 0.28
- energy (eV/atom) = -6.26
- total magnetic moment (μB per formula unit) = 0.7

Record 3
Here is a relaxed NdGa3Pd crystal from the Alexandria database. Energies are from PBEsol.

CIF file:
```
data_NdGa3Pd
_chemical_formula_sum 'Nd1 Ga3 Pd1'
_cell_length_a 6.099
_cell_length_b 6.099
_cell_length_c 6.099
_cell_angle_alpha 140.19
_cell_angle_beta 140.19
_cell_angle_gamma 57.56
_symmetry_space_group_name_H-M 'P 1'
_symmetry_Int_Tables_number 1
loop_
_symmetry_equiv_pos_as_xyz
'x,y,z'
loop_
_atom_site_label
_atom_site_fract_x
_atom_site_fract_y
_atom_site_fract_z
Nd1 0.000 0.000 0.000
Ga1 0.250 0.750 0.500
Ga2 0.386 0.386 0.000
Ga3 0.614 0.614 0.000
Pd1 0.750 0.250 0.500
```

- formation energy (eV/atom) = -0.73
- energy (eV/atom) = -4.96
- total magnetic moment (μB per formula unit) = 0.0

Record 4
Here is a relaxed Mo3Pb crystal from the Alexandria database. Energies are from PBEsol.

CIF file:
```
data_Mo3Pb
_chemical_formula_sum 'Mo3 Pb1'
_cell_length_a 5.333
_cell_length_b 5.333
_cell_length_c 5.333
_cell_angle_alpha 143.84
_cell_angle_beta 130.53
_cell_angle_gamma 62.79
_symmetry_space_group_name_H-M 'P 1'
_symmetry_Int_Tables_number 1
loop_
_symmetry_equiv_pos_as_xyz
'x,y,z'
loop_
_atom_site_label
_atom_site_fract_x
_atom_site_fract_y
_atom_site_fract_z
Mo1 0.000 0.000 0.000
Mo2 0.238 0.738 0.500
Mo3 0.762 0.262 0.500
Pb1 0.500 0.500 0.000
```

- formation energy (eV/atom) = 0.49
- energy (eV/atom) = -9.34
- total magnetic moment (μB per formula unit) = 0.0

Record 5
Here is a relaxed YPW crystal from the Alexandria database. Energies are from PBEsol.

CIF file:
```
data_YPW
_chemical_formula_sum 'Y1 P1 W1'
_cell_length_a 4.320
_cell_length_b 4.320
_cell_length_c 4.320
_cell_angle_alpha 60.00
_cell_angle_beta 60.00
_cell_angle_gamma 60.00
_symmetry_space_group_name_H-M 'P 1'
_symmetry_Int_Tables_number 1
loop_
_symmetry_equiv_pos_as_xyz
'x,y,z'
loop_
_atom_site_label
_atom_site_fract_x
_atom_site_fract_y
_atom_site_fract_z
Y1 0.000 0.000 0.000
P1 0.750 0.750 0.750
W1 0.500 0.500 0.500
```

- formation energy (eV/atom) = -0.02
- energy (eV/atom) = -8.83
- total magnetic moment (μB per formula unit) = 0.0

Record 6
Here is a relaxed LiNi3O4 crystal from the Alexandria database. Energies are from PBEsol.

CIF file:
```
data_LiNi3O4
_chemical_formula_sum 'Li2 Ni6 O8'
_cell_length_a 4.954
_cell_length_b 4.954
_cell_length_c 5.734
_cell_angle_alpha 90.00
_cell_angle_beta 90.00
_cell_angle_gamma 109.36
_symmetry_space_group_name_H-M 'P 1'
_symmetry_Int_Tables_number 1
loop_
_symmetry_equiv_pos_as_xyz
'x,y,z'
loop_
_atom_site_label
_atom_site_fract_x
_atom_site_fract_y
_atom_site_fract_z
Li1 0.000 0.000 0.000
Li2 0.000 0.000 0.500
Ni1 0.000 0.500 0.250
Ni2 0.000 0.500 0.750
Ni3 0.500 0.000 0.250
Ni4 0.500 0.000 0.750
Ni5 0.500 0.500 0.000
Ni6 0.500 0.500 0.500
O1 0.247 0.753 0.000
O2 0.247 0.753 0.500
O3 0.270 0.270 0.246
O4 0.270 0.270 0.754
O5 0.730 0.730 0.246
O6 0.730 0.730 0.754
O7 0.753 0.247 0.000
O8 0.753 0.247 0.500
```

- energy (eV/atom) = -6.11
- total magnetic moment (μB per formula unit) = 1.6
- energy relative to the elements, uncorrected (eV/atom) = -0.930